! TlTcGeSb2, optimized geometry, DFT PBE; values from VASP
&SYSTEM
  ibrav = 0, nat = 5, ntyp = 4
/
ATOMIC_SPECIES
Tl 204.38 Tl.upf
Tc 98.00 Tc.upf
Ge 72.64 Ge.upf
Sb 121.76 Sb.upf
CELL_PARAMETERS angstrom
5.685 0.000 0.000
0.000 5.685 0.000
0.000 0.000 5.144
ATOMIC_POSITIONS crystal
Tl 0.000 0.000 0.000
Tc 0.500 0.500 0.500
Ge 0.000 0.000 0.500
Sb 0.000 0.500 0.000
Sb 0.500 0.000 0.000
! SG: P4/mmm (123)
! Density of states at the Fermi level: 1.060 states/eV per atom
! Calculated total energy: -3.45 eV/atom
! ΔE_f (raw): 38.5 kcal/mol of atoms



! Tc2GeSbW, optimized geometry, DFT PBE; values from VASP
&SYSTEM
  ibrav = 0, nat = 5, ntyp = 4
/
ATOMIC_SPECIES
Tc 98.00 Tc.upf
Ge 72.64 Ge.upf
Sb 121.76 Sb.upf
W 183.84 W.upf
CELL_PARAMETERS angstrom
4.772 0.000 0.000
0.000 4.772 0.000
0.000 0.000 4.948
ATOMIC_POSITIONS crystal
Tc 0.000 0.500 0.000
Tc 0.500 0.000 0.000
Ge 0.000 0.000 0.500
Sb 0.000 0.000 0.000
W 0.500 0.500 0.500
! SG: P4/mmm (123)
! Density of states at the Fermi level: 2.074 states/eV per atom
! Calculated total energy: -6.08 eV/atom
! ΔE_f (raw): 55.4 kcal/mol of atoms



! Ge2Sb2Te5, optimized geometry, DFT PBE; values from VASP
&SYSTEM
  ibrav = 0, nat = 9, ntyp = 3
/
ATOMIC_SPECIES
Ge 72.64 Ge.upf
Sb 121.76 Sb.upf
Te 127.60 Te.upf
CELL_PARAMETERS angstrom
6.834 -3.057 0.000
6.834 3.057 0.000
-6.715 0.000 6.918
ATOMIC_POSITIONS crystal
Ge 0.000 0.000 0.000
Ge 0.593 0.593 0.380
Sb 0.195 0.195 0.814
Sb 0.828 0.828 0.227
Te 0.119 0.119 0.428
Te 0.324 0.324 0.237
Te 0.519 0.519 0.033
Te 0.728 0.728 0.835
Te 0.917 0.917 0.639
! SG: Cm (8)
! Density of states at the Fermi level: 0.036 states/eV per atom
! Calculated total energy: -3.75 eV/atom
! ΔE_f (raw): -1.5 kcal/mol of atoms



! GeSb2Te5, optimized geometry, DFT PBE; values from VASP
&SYSTEM
  ibrav = 0, nat = 16, ntyp = 3
/
ATOMIC_SPECIES
Ge 72.64 Ge.upf
Sb 121.76 Sb.upf
Te 127.60 Te.upf
CELL_PARAMETERS angstrom
3.050 -7.406 0.000
3.050 7.406 0.000
0.000 0.000 12.328
ATOMIC_POSITIONS crystal
Ge 0.216 0.784 0.750
Ge 0.784 0.216 0.250
Sb 0.177 0.823 0.066
Sb 0.177 0.823 0.434
Sb 0.823 0.177 0.566
Sb 0.823 0.177 0.934
Te 0.027 0.973 0.627
Te 0.027 0.973 0.873
Te 0.306 0.694 0.250
Te 0.343 0.657 0.578
Te 0.343 0.657 0.922
Te 0.657 0.343 0.078
Te 0.657 0.343 0.422
Te 0.694 0.306 0.750
Te 0.973 0.027 0.127
Te 0.973 0.027 0.373
! SG: Cmcm (63)
! Density of states at the Fermi level: 0.351 states/eV per atom
! Calculated total energy: -3.54 eV/atom
! ΔE_f (raw): 0.7 kcal/mol of atoms